Computed, not measured: an optimized crystal structure of Y3Ga5O12 at the PBEsol level of DFT.

Cell: 12.261 12.261 12.261 Å, 90.00 90.00 90.00°
Space group Ia-3d (No. 230)
One atom of each set of equivalent atoms:
Y 0.000 0.250 0.125 (multiplicity 24)
Ga 0.000 0.000 0.000 (multiplicity 16)
Ga 0.000 0.250 0.375 (multiplicity 24)
O 0.027 0.056 0.650 (multiplicity 96)

Properties
E: -7.6178 eV/atom
ΔE_f (raw): -2.610 eV per atom



Computed, not measured: an optimized crystal structure of HgMoBr at the PBEsol level of DFT.

Cell: 3.062 5.605 14.762 Å, 90.00 90.00 90.00°
Space group Fmm2 (No. 42)
One atom of each set of equivalent atoms:
Hg 0.000 0.000 0.000 (multiplicity 4)
Mo 0.000 0.000 0.341 (multiplicity 4)
Br 0.000 0.000 0.707 (multiplicity 4)

Properties
E: -4.2161 eV/atom
ΔE_f (raw): 0.519 eV per atom



Computed, not measured: an optimized crystal structure of ZnOs3 at the PBEsol level of DFT.

Cell: 2.7300 2.7300 8.6076 Å, 90.00 90.00 120.00°
Space group P-6m2 (No. 187)
One atom of each set of equivalent atoms:
Zn 0.0000 0.0000 0.0000 (multiplicity 1)
Os 0.0000 0.0000 0.5000 (multiplicity 1)
Os 0.3333 0.6667 0.2557 (multiplicity 2)

Properties
ΔH_f (0 K): 12 kJ/mol of formula units
E: -9.5258 eV/atom



Computed, not measured: an optimized crystal structure of LaCr2Rh at the PBEsol level of DFT.

Cell: 6.516 6.516 6.516 Å, 90.00 90.00 90.00°
Space group F-43m (No. 216)
One atom of each set of equivalent atoms:
La 0.000 0.000 0.000 (multiplicity 4)
Cr 0.000 0.000 0.500 (multiplicity 4)
Cr 0.250 0.250 0.750 (multiplicity 4)
Rh 0.250 0.250 0.250 (multiplicity 4)

Properties
ΔE to the lowest computed polymorph: 0 meV/atom
ΔH_f (0 K): 132 kJ/mol of formula units
E: -8.1492 eV/atom



Computed, not measured: an optimized crystal structure of Ru3Cl at the PBEsol level of DFT.

Cell: 2.731 8.504 4.800 Å, 90.00 90.00 90.00°
Space group Imm2 (No. 44)
One atom of each set of equivalent atoms:
Ru 0.000 0.000 0.000 (multiplicity 2)
Ru 0.000 0.252 0.626 (multiplicity 4)
Cl 0.000 0.500 0.088 (multiplicity 2)

Properties
ΔE to the lowest computed polymorph: 344 meV/atom
E: -7.4169 eV/atom
ΔE_f (raw): 0.714 eV per atom



Computed, not measured: an optimized crystal structure of Mo2IrRh at the PBEsol level of DFT.

Cell: 5.446 7.731 2.729 Å, 90.00 90.00 90.00°
Space group Cmmm (No. 65)
One atom of each set of equivalent atoms:
Mo 0.250 0.250 0.000 (multiplicity 4)
Ir 0.000 0.000 0.500 (multiplicity 2)
Rh 0.000 0.500 0.500 (multiplicity 2)

Properties
ΔE to the lowest computed polymorph: 25 meV/atom
ΔH_f (0 K): -101 kJ/mol of formula units
E: -10.6362 eV/atom